Here is an optimized crystal structure of ZnCdTe2 from Alexandria. Energies are from GGA-PBEsol.

a = 6.2902 Å, b = 6.2902 Å, c = 7.6541 Å
α = 114.26°, β = 114.26°, γ = 90.00°
Fractional coordinates of all 8 atoms:
Te 0.8512 0.3750 0.2500
Te 0.3988 0.8750 0.2500
Te 0.6250 0.6012 0.7500
Te 0.1250 0.1488 0.7500
Cd 0.0000 0.0000 0.0000
Cd 0.2500 0.7500 0.5000
Zn 0.5000 0.5000 0.0000
Zn 0.7500 0.2500 0.5000

Volume: 30.81 Å³/atom
SG: I-42d (122)

---

Here is an optimized crystal structure of ZnCdTe3 from Alexandria. Energies are from GGA-PBEsol.

a = 5.5043 Å, b = 5.5043 Å, c = 5.5043 Å
α = 90.00°, β = 90.00°, γ = 90.00°
Fractional coordinates of all 5 atoms:
Zn 0.5000 0.5000 0.5000
Te 0.0000 0.5000 0.0000
Te 0.0000 0.0000 0.5000
Te 0.5000 0.0000 0.0000
Cd 0.0000 0.0000 0.0000

Volume: 33.35 Å³/atom
SG: Pm-3m (221)

---

Here is an optimized crystal structure of ZnCdTe2 from Alexandria. Energies are from GGA-PBEsol.

a = 5.4660 Å, b = 5.0205 Å, c = 5.4660 Å
α = 57.02°, β = 90.00°, γ = 122.98°
Fractional coordinates of all 4 atoms:
Te 0.2500 0.5000 0.2500
Te 0.7500 0.5000 0.7500
Zn 0.5000 0.0000 0.5000
Cd 0.0000 0.0000 0.0000

Volume: 23.93 Å³/atom
SG: I4/mmm (139)

---

no.,ΔE_f (raw) (eV per formula unit)
1,-1.561
2,3.530
3,0.561